[1]
A PBEsol-optimized structure of Mo3IrN. Source: Alexandria, functional SCAN.

a = 4.041 Å, b = 4.041 Å, c = 4.041 Å
α = 90.00°, β = 90.00°, γ = 90.00°
Sites, in units of the cell vectors:
Mo 0.000 0.500 0.000
Mo 0.500 0.000 0.000
Ir 0.500 0.500 0.500
Mo 0.000 0.000 0.500
N 0.000 0.000 0.000

Summary:
Fermi-level density of states = 4.2 states/eV per cell
space group = No. 221
DFT total energy = -37.24 eV per atom
spin magnetization = 0.00 μB per formula unit
formation energy from raw total energies = -227 meV/atom

***

[2]
A PBEsol-optimized structure of NaTiMo2Ir. Source: Alexandria, functional SCAN.

a = 4.762 Å, b = 4.778 Å, c = 4.778 Å
α = 90.00°, β = 90.00°, γ = 90.00°
Sites, in units of the cell vectors:
Na 0.500 0.500 0.500
Mo 0.000 0.500 0.000
Ti 0.500 0.000 0.000
Mo 0.000 0.000 0.500
Ir 0.000 0.000 0.000

Summary:
Fermi-level density of states = 4.6 states/eV per cell
space group = No. 123
DFT total energy = -31.22 eV per atom
spin magnetization = 1.59 μB per formula unit
formation enthalpy at 0 K = 1005 meV/atom

***

[3]
A PBEsol-optimized structure of Nb2MoIrRu. Source: Alexandria, functional SCAN.

a = 4.556 Å, b = 4.746 Å, c = 4.746 Å
α = 90.00°, β = 90.00°, γ = 90.00°
Sites, in units of the cell vectors:
Nb 0.000 0.000 0.500
Ir 0.000 0.000 0.000
Mo 0.500 0.500 0.500
Ru 0.500 0.000 0.000
Nb 0.000 0.500 0.000

Summary:
Fermi-level density of states = 5.2 states/eV per cell
space group = No. 123
DFT total energy = -40.01 eV per atom
spin magnetization = 1.54 μB per formula unit
formation enthalpy at 0 K = 1405 meV/atom